CaCr2PbO8 (PBE+U, optimized geometry); D(E_F) = 0.0000 states/eV/atom; electronic total energy = -6.64 eV/atom; spin magnetization = 0.000 μB per atom
1.0
-3.0051 -0.4885 -4.8566
4.9559 -2.8169 0.5994
-3.5350 -5.6334 2.7540
Ca Cr Pb O
1 2 1 8
direct
0.0000 0.0000 0.5000 Ca
0.6667 0.3333 0.2033 Cr
0.3333 0.6667 0.7967 Cr
0.0000 0.0000 0.0000 Pb
0.3333 0.6667 0.0227 O
0.3448 0.1731 0.2763 O
0.8269 0.1717 0.2763 O
0.6667 0.3333 0.9773 O
0.1731 0.8283 0.7237 O
0.6552 0.8269 0.7237 O
0.1717 0.3448 0.7237 O
0.8283 0.6552 0.2763 O